# PBE-GGA BaNpTe4Au, relaxed
data_BaNpTe4Au
_space_group_name_H-M_alt 'P 1 21/m 1'
_space_group_IT_number 11
_cell_length_a 7.867
_cell_length_b 6.358
_cell_length_c 9.697
_cell_angle_alpha 90.00
_cell_angle_beta 110.13
_cell_angle_gamma 90.00
loop_
_space_group_symop_operation_xyz
'x,y,z'
'-x,-y,-z'
'-x,y+1/2,-z'
'x,-y+1/2,z'
loop_
_atom_site_label
_atom_site_type_symbol
_atom_site_fract_x
_atom_site_fract_y
_atom_site_fract_z
Ba1 Ba 0.234 0.250 0.066
Np1 Np 0.279 0.250 0.561
Te1 Te 0.036 0.509 0.715
Te2 Te 0.424 0.750 0.593
Te3 Te 0.449 0.750 0.116
Au1 Au 0.255 0.750 0.292
# **Crystal system**: monoclinic
# **Formation energy (no corrections)**: -5.312 eV per formula unit